(P)
TbDyMn after structural relaxation, computed with PBE.

a = 3.488 Å, b = 3.488 Å, c = 6.813 Å
α = 104.83°, β = 104.83°, γ = 90.00°
Site moments in Bohr magnetons follow the coordinates.
Element x y z (fractional)
Dy (0.303, 0.303, 0.606)  -0.24
Mn (0.667, 0.667, 0.334)  3.15
Tb (0.030, 0.030, 0.060)  -0.23


(Q)
TbDyMn after structural relaxation, computed with PBE.

a = 4.159 Å, b = 3.733 Å, c = 14.602 Å
α = 97.34°, β = 44.64°, γ = 90.00°
Site moments in Bohr magnetons follow the coordinates.
Element x y z (fractional)
Dy (0.579, 0.934, 0.869)  -0.24
Dy (0.421, 0.066, 0.131)  -0.24
Tb (0.618, 0.326, 0.653)  -0.31
Tb (0.382, 0.674, 0.347)  -0.31
Mn (0.700, 0.210, 0.420)  2.28
Mn (0.300, 0.790, 0.580)  2.28


It is (P) that is the most stable of them.